Material: AlAgC
Method: DFT, PBE
State: relaxed

Crystal system: monoclinic
DFT total energy, eV/atom: -4.894

The structure in CIF format:
```
data_AlAgC
_symmetry_space_group_name_H-M 'P 1'
_symmetry_Int_Tables_number 1
_symmetry_space_group_name_Hall 'P 1'
_cell_length_a 3.426
_cell_length_b 5.395
_cell_length_c 5.257
_cell_angle_alpha 90.00
_cell_angle_beta 108.94
_cell_angle_gamma 90.00
loop_
_atom_site_label
_atom_site_fract_x
_atom_site_fract_y
_atom_site_fract_z
Al1 0.234 0.000 0.468
Al2 0.766 0.500 0.532
Ag1 0.495 0.397 0.992
Ag2 0.505 0.897 0.008
C1 0.318 0.658 0.636
C2 0.682 0.158 0.364
```